Entry 1:
# As2PCl

As2PCl after structural relaxation (PBE, Alexandria).

```
4
Lattice="3.8901 0.0000 0.0000 0.0000 3.8780 0.0000 -0.4107 0.0000 5.3402" Properties=species:S:1:pos:R:3 pbc="T T T"
As 0.0000 0.0000 0.0000
As 1.7397 1.9390 2.6701
P -0.2054 0.0000 2.6701
Cl 1.9450 1.9390 0.0000
```

Calculated values
The value obtained for the energy above the most stable polymorph in this dataset is 148 kJ/mol of formula units. Its space group is P2/m, No. 10. The value obtained for the density is 4.46 g cm⁻³. The raw formation energy is 0.43 eV/atom.

Entry 2:
# AsPCl2

AsPCl2 after structural relaxation (PBE, Alexandria).

```
8
Lattice="4.2371 0.0000 0.0000 0.0000 4.2371 0.0000 0.0000 0.0000 8.4529" Properties=species:S:1:pos:R:3 pbc="T T T"
As 0.0000 0.0000 0.0000
As 2.1186 2.1186 4.2264
P 0.0000 0.0000 4.2264
P 2.1186 2.1186 0.0000
Cl 0.0000 2.1186 2.1132
Cl 0.0000 2.1186 6.3397
Cl 2.1186 0.0000 2.1132
Cl 2.1186 0.0000 6.3397
```

Calculated values
The value obtained for the energy above the most stable polymorph in this dataset is 418 kJ/mol of formula units. Its space group is I4/mmm, No. 139. The value obtained for the density is 3.87 g cm⁻³. The raw formation energy is 0.71 eV/atom.

Entry 3:
# As2PCl

As2PCl after structural relaxation (PBE, Alexandria).

```
8
Lattice="3.2285 0.0000 0.0000 0.0000 5.6638 0.0000 0.0000 0.0000 10.2517" Properties=species:S:1:pos:R:3 pbc="T T T"
As 0.0000 0.0000 0.0000
As 0.0000 2.8319 3.0724
As 1.6143 0.0000 3.0724
As 1.6143 2.8319 0.0000
P 0.0000 0.0000 4.7256
P 1.6143 2.8319 4.7256
Cl 0.0000 2.8319 8.3049
Cl 1.6143 0.0000 8.3049
```

Calculated values
The value obtained for the energy above the most stable polymorph in this dataset is 139 kJ/mol of formula units. Its space group is Cmm2, No. 35. The value obtained for the density is 3.83 g cm⁻³. The raw formation energy is 0.41 eV/atom.

Entry 4:
# As2PCl

As2PCl after structural relaxation (PBE, Alexandria).

```
4
Lattice="3.3043 0.0000 0.0000 0.0000 3.3043 0.0000 0.0000 0.0000 7.0224" Properties=species:S:1:pos:R:3 pbc="T T T"
As 0.0000 0.0000 1.3483
As 0.0000 0.0000 5.6741
P 1.6521 1.6521 0.0000
Cl 1.6521 1.6521 3.5112
```

Calculated values
The value obtained for the energy above the most stable polymorph in this dataset is 63 kJ/mol of formula units. Its space group is P4/mmm, No. 123. The value obtained for the density is 4.68 g cm⁻³. The raw formation energy is 0.21 eV/atom.